Compound: Ba6MgIn2
Source: the Alexandria database
Functional: PBE
Structure: relaxed

The structure in extended XYZ format:
```
18
Lattice="8.939 0.000 2.816 0.000 10.856 0.000 3.220 0.000 9.944" Properties=species:S:1:pos:R:3 pbc="T T T"
Ba 7.598 10.848 5.137
Ba 8.453 7.498 7.669
Ba 9.788 8.776 11.471
Ba 8.451 3.348 7.669
Ba 9.785 2.070 11.471
Ba 7.420 5.420 4.059
Ba 4.561 0.008 7.623
Ba 3.706 3.358 5.091
Ba 2.371 2.081 1.289
Ba 3.708 7.509 5.091
Ba 2.374 8.786 1.289
Ba 4.739 5.437 8.701
Mg 4.469 5.428 1.408
Mg 1.610 0.000 4.972
In 10.390 5.422 10.163
In 7.848 10.850 8.977
In 4.310 0.007 3.783
In 1.769 5.435 2.597
```

Summary:
The value obtained for the energy of formation is -0.18 eV per atom.

***

Compound: Ba6Mg3In
Source: the Alexandria database
Functional: PBE
Structure: relaxed

The structure in extended XYZ format:
```
20
Lattice="6.256 0.000 0.000 0.000 10.081 -3.765 0.000 -0.203 14.163" Properties=species:S:1:pos:R:3 pbc="T T T"
Ba 1.564 4.924 -0.664
Ba 4.692 4.954 11.062
Ba 1.564 1.413 1.781
Ba 4.692 8.465 8.617
Ba 1.564 6.488 6.794
Ba 4.692 3.390 3.604
Ba 1.564 2.301 6.262
Ba 4.692 7.577 4.135
Ba 1.564 8.482 1.397
Ba 4.692 1.396 9.000
Ba 1.564 0.983 11.818
Ba 4.692 8.895 -1.421
Mg 1.564 5.246 3.096
Mg 4.692 4.632 7.301
Mg 1.564 4.069 9.503
Mg 4.692 5.809 0.894
Mg 1.564 7.468 10.736
Mg 4.692 2.410 -0.338
In 1.564 9.480 4.934
In 4.692 0.398 5.463
```

Summary:
The value obtained for the energy of formation is -0.09 eV per atom.

***

Compound: Ba2MgIn
Source: the Alexandria database
Functional: PBE
Structure: relaxed

The structure in extended XYZ format:
```
4
Lattice="7.822 -0.211 -0.131 6.184 4.795 -0.131 6.184 2.024 4.349" Properties=species:S:1:pos:R:3 pbc="T T T"
Mg 16.070 5.260 3.254
Ba 0.617 0.202 0.125
Ba 4.452 1.457 0.901
In 9.147 2.994 1.852
```

Summary:
The value obtained for the energy of formation is -0.19 eV per atom.

***

Compound: Ba2MgIn
Source: the Alexandria database
Functional: PBE
Structure: relaxed

The structure in extended XYZ format:
```
4
Lattice="-3.277 -2.183 -4.631 2.484 -3.969 -3.877 -1.803 -5.805 0.023" Properties=species:S:1:pos:R:3 pbc="T T T"
Mg -1.948 -8.968 -6.363
Ba -1.298 -5.978 -4.242
Ba 0.000 0.000 0.000
In -0.649 -2.989 -2.121
```

Summary:
The value obtained for the energy of formation is -0.24 eV per atom.

***

Compound: BaMg3In
Source: the Alexandria database
Functional: PBE
Structure: relaxed

The structure in extended XYZ format:
```
10
Lattice="5.239 0.000 -2.896 -2.839 8.603 -5.135 0.868 -1.386 7.757" Properties=species:S:1:pos:R:3 pbc="T T T"
Ba 0.946 1.726 1.710
Ba 2.323 5.491 -1.985
Mg 4.070 0.739 4.268
Mg 1.450 0.739 5.716
Mg 1.818 6.477 -5.991
Mg -0.801 6.477 -4.543
Mg -0.861 7.200 -1.557
Mg 4.129 0.017 1.282
In -1.419 4.301 -2.567
In 2.619 0.000 -1.448
```

Summary:
The value obtained for the energy of formation is -0.09 eV per atom.

***

Compound: Ba2Mg5In3
Source: the Alexandria database
Functional: PBE
Structure: relaxed

The structure in extended XYZ format:
```
10
Lattice="-4.561 0.054 1.714 0.449 -4.662 1.343 4.426 3.786 11.661" Properties=species:S:1:pos:R:3 pbc="T T T"
Ba -1.112 1.027 3.936
Ba 3.482 0.455 9.253
Mg -2.056 -2.304 1.528
Mg 0.000 0.000 0.000
Mg 1.515 3.274 10.856
Mg 0.855 -1.792 2.333
Mg 0.157 -0.411 7.359
In 0.526 2.428 8.251
In 1.844 -0.946 4.938
In 2.213 1.893 5.830
```

Summary:
The value obtained for the energy of formation is -0.19 eV per atom.